Entry 1:
# AlIrPt2 PBE-GGA optimized geometry
# * total energy: -25.9 eV/f.u.
# * total magnetization: 0.00 μB per atom
# * V: 61 Å³/cell
data_AlIrPt2
_cell_length_a 4.412
_cell_length_b 4.412
_cell_length_c 4.412
_cell_angle_alpha 60.00
_cell_angle_beta 60.00
_cell_angle_gamma 60.00
_symmetry_space_group_name_H-M 'P 1'
_symmetry_Int_Tables_number 1
_symmetry_space_group_name_Hall 'P 1'
loop_
_atom_site_label
_atom_site_type_symbol
_atom_site_fract_x
_atom_site_fract_y
_atom_site_fract_z
Al1 Al 0.000 0.000 0.000
Ir1 Ir 0.250 0.250 0.250
Pt1 Pt 0.500 0.500 0.500
Pt2 Pt 0.750 0.750 0.750

***

Entry 2:
# AlIr2Pt PBE-GGA optimized geometry
# * total energy: -28.0 eV/f.u.
# * total magnetization: 0.01 μB per atom
# * V: 60 Å³/cell
data_AlIr2Pt
_cell_length_a 4.398
_cell_length_b 4.398
_cell_length_c 4.398
_cell_angle_alpha 60.00
_cell_angle_beta 60.00
_cell_angle_gamma 60.00
_symmetry_space_group_name_H-M 'P 1'
_symmetry_Int_Tables_number 1
_symmetry_space_group_name_Hall 'P 1'
loop_
_atom_site_label
_atom_site_type_symbol
_atom_site_fract_x
_atom_site_fract_y
_atom_site_fract_z
Al1 Al 0.000 0.000 0.000
Ir1 Ir 0.500 0.500 0.500
Ir2 Ir 0.750 0.750 0.750
Pt1 Pt 0.250 0.250 0.250

***

Entry 3:
# Al2IrPt PBE-GGA optimized geometry
# * total energy: -23.9 eV/f.u.
# * total magnetization: 0.00 μB per atom
# * V: 60 Å³/cell
data_Al2IrPt
_cell_length_a 4.400
_cell_length_b 4.400
_cell_length_c 4.400
_cell_angle_alpha 60.00
_cell_angle_beta 60.00
_cell_angle_gamma 60.00
_symmetry_space_group_name_H-M 'P 1'
_symmetry_Int_Tables_number 1
_symmetry_space_group_name_Hall 'P 1'
loop_
_atom_site_label
_atom_site_type_symbol
_atom_site_fract_x
_atom_site_fract_y
_atom_site_fract_z
Al1 Al 0.000 0.000 0.000
Al2 Al 0.250 0.250 0.250
Ir1 Ir 0.750 0.750 0.750
Pt1 Pt 0.500 0.500 0.500

***

Entry 4:
# Y3Al2Sn2IrPt PBE-GGA optimized geometry
# * total energy: -57.4 eV/f.u.
# * total magnetization: 0.00 μB per atom
# * V: 196 Å³/cell
data_Y3Al2Sn2IrPt
_cell_length_a 4.409
_cell_length_b 7.127
_cell_length_c 7.127
_cell_angle_alpha 118.69
_cell_angle_beta 90.00
_cell_angle_gamma 90.00
_symmetry_space_group_name_H-M 'P 1'
_symmetry_Int_Tables_number 1
_symmetry_space_group_name_Hall 'P 1'
loop_
_atom_site_label
_atom_site_type_symbol
_atom_site_fract_x
_atom_site_fract_y
_atom_site_fract_z
Y1 Y 0.000 0.000 0.000
Y2 Y 0.000 0.423 0.801
Y3 Y 0.000 0.801 0.423
Al1 Al 0.500 0.208 0.424
Al2 Al 0.500 0.424 0.208
Sn1 Sn 0.500 0.081 0.745
Sn2 Sn 0.500 0.745 0.081
Ir1 Ir 0.000 0.373 0.373
Pt1 Pt 0.500 0.649 0.649